[1]
The following is a DFT calculation (PBE) of a geometry-optimized YPbI2N structure.

```
YPbI2N
1.0
6.378 0.000 0.000
0.000 6.378 0.000
0.000 0.000 4.076
Pb I Y N
1 2 1 1
direct
0.000 0.000 0.000 Pb
0.000 0.500 0.000 I
0.500 0.000 0.000 I
0.500 0.500 0.500 Y
0.000 0.000 0.500 N
```

- raw total energy (Ry/atom) = -0.283
- N(E_F) (states/eV per atom) = 0.46
- formation energy from raw total energies (meV/atom) = 472



[2]
The following is a DFT calculation (PBE) of a geometry-optimized Li2CoIr structure.

```
Li2CoIr
1.0
2.596 0.000 0.000
0.000 3.921 0.000
0.000 0.000 5.207
Co Ir Li
1 1 2
direct
0.000 0.000 0.542 Co
0.500 0.500 0.717 Ir
0.000 0.000 0.005 Li
0.500 0.500 0.236 Li
```

- raw total energy (Ry/atom) = -0.364
- energy relative to the elements (eV per atom) = -0.01
- N(E_F) (states/eV per atom) = 0.86



[3]
The following is a DFT calculation (PBE) of a geometry-optimized Ti4GeAs2 structure.

```
Ti4GeAs2
1.0
4.605 0.000 0.000
0.000 4.605 0.000
2.302 2.302 6.711
As Ge Ti
2 1 4
direct
0.372 0.372 0.256 As
0.628 0.628 0.744 As
0.000 0.000 0.000 Ge
0.185 0.185 0.630 Ti
0.815 0.815 0.370 Ti
0.000 0.500 0.000 Ti
0.500 0.000 0.000 Ti
```

- raw total energy (Ry/atom) = -0.476
- energy relative to the elements (eV per atom) = 0.02
- N(E_F) (states/eV per atom) = 1.21



[4]
The following is a DFT calculation (PBE) of a geometry-optimized Zn2CrSe structure.

```
Zn2CrSe
1.0
4.616 0.000 0.000
2.308 3.998 0.000
2.308 1.333 3.769
Cr Se Zn
1 1 2
direct
0.500 0.500 0.500 Cr
0.250 0.250 0.250 Se
0.000 0.000 0.000 Zn
0.750 0.750 0.750 Zn
```

- raw total energy (Ry/atom) = -0.270
- N(E_F) (states/eV per atom) = 0.27
- formation energy from raw total energies (meV/atom) = 237



[5]
The following is a DFT calculation (PBE) of a geometry-optimized YCoIr4 structure.

```
YCoIr4
1.0
0.000 3.708 3.708
3.708 0.000 3.708
3.708 3.708 0.000
Y Co Ir
1 1 4
direct
0.750 0.750 0.750 Y
0.000 0.000 0.000 Co
0.876 0.375 0.375 Ir
0.375 0.375 0.876 Ir
0.375 0.876 0.375 Ir
0.375 0.375 0.375 Ir
```

- raw total energy (Ry/atom) = -0.608
- energy relative to the elements (eV per atom) = -0.11
- N(E_F) (states/eV per atom) = 1.64



[6]
The following is a DFT calculation (PBE) of a geometry-optimized Y2ScHg5 structure.

```
Y2ScHg5
1.0
5.131 0.000 0.000
0.000 5.131 0.000
-2.565 -2.565 7.241
Y Sc Hg
2 1 5
direct
0.739 0.739 0.478 Y
0.261 0.261 0.522 Y
0.000 0.000 0.000 Sc
0.500 0.500 0.000 Hg
0.881 0.381 0.761 Hg
0.381 0.881 0.761 Hg
0.119 0.619 0.239 Hg
0.619 0.119 0.239 Hg
```

- raw total energy (Ry/atom) = -0.218
- energy relative to the elements (eV per atom) = -0.37
- N(E_F) (states/eV per atom) = 0.56



[7]
The following is a DFT calculation (PBE) of a geometry-optimized MnAlAs structure.

```
MnAlAs
1.0
-2.318 -2.594 -2.232
1.301 -3.863 -0.689
-1.898 -3.179 1.838
As Mn Al
1 1 1
direct
0.500 0.500 0.500 As
0.750 0.750 0.750 Mn
0.000 0.000 0.000 Al
```

- raw total energy (Ry/atom) = -0.431
- energy relative to the elements (eV per atom) = -0.01
- N(E_F) (states/eV per atom) = 0.93



[8]
The following is a DFT calculation (PBE) of a geometry-optimized TiNbCl structure.

```
TiNbCl
1.0
5.748 0.937 -0.914
1.153 7.450 -1.058
-6.507 -6.690 4.481
Nb Ti Cl
2 2 2
direct
0.460 0.654 0.284 Nb
0.540 0.346 0.716 Nb
0.906 0.219 0.551 Ti
0.094 0.781 0.449 Ti
0.020 0.299 0.272 Cl
0.980 0.701 0.728 Cl
```

- raw total energy (Ry/atom) = -0.511
- N(E_F) (states/eV per atom) = 0.55
- formation energy from raw total energies (meV/atom) = -355



[9]
The following is a DFT calculation (PBE) of a geometry-optimized OsSN structure.

```
OsSN
1.0
3.332 0.443 -0.390
0.395 3.339 -0.390
-1.957 -1.986 7.579
Os N S
2 2 2
direct
0.995 0.995 0.657 Os
0.005 0.005 0.343 Os
0.337 0.337 0.619 N
0.663 0.663 0.381 N
0.500 0.000 0.000 S
0.000 0.500 0.000 S
```

- raw total energy (Ry/atom) = -0.505
- N(E_F) (states/eV per atom) = 0.69
- formation energy from raw total energies (meV/atom) = 1022



[10]
The following is a DFT calculation (PBE) of a geometry-optimized K2LaIN structure.

```
K2LaIN
1.0
7.513 0.000 0.000
0.000 4.300 0.000
0.000 0.000 7.513
I K N La
1 2 1 1
direct
0.500 0.500 0.500 I
0.000 0.000 0.500 K
0.500 0.000 0.000 K
0.000 0.500 0.000 N
0.000 0.000 0.000 La
```

- raw total energy (Ry/atom) = -0.267
- N(E_F) (states/eV per atom) = 0.84
- formation energy from raw total energies (meV/atom) = -233



[11]
The following is a DFT calculation (PBE) of a geometry-optimized YCuOs2 structure.

```
YCuOs2
1.0
4.559 0.000 0.000
0.094 4.558 0.000
-2.327 -2.279 3.191
Cu Os Y
1 2 1
direct
0.750 0.250 0.500 Cu
0.000 0.000 0.000 Os
0.250 0.750 0.500 Os
0.500 0.500 0.000 Y
```

- raw total energy (Ry/atom) = -0.582
- energy relative to the elements (eV per atom) = 0.33
- N(E_F) (states/eV per atom) = 0.79



[12]
The following is a DFT calculation (PBE) of a geometry-optimized La3DySc2Se6 structure.

```
La3DySc2Se6
1.0
7.072 -0.011 -0.003
-3.543 6.120 -0.003
-1.180 -2.043 6.897
La Dy Sc Se
3 1 2 6
direct
0.163 0.837 0.500 La
0.837 0.163 0.500 La
0.500 0.500 0.500 La
0.000 0.000 0.000 Dy
0.333 0.667 0.000 Sc
0.667 0.333 0.000 Sc
0.926 0.583 0.778 Se
0.730 0.730 0.219 Se
0.074 0.417 0.222 Se
0.583 0.926 0.778 Se
0.270 0.270 0.781 Se
0.417 0.074 0.222 Se
```

- raw total energy (Ry/atom) = -0.457
- N(E_F) (states/eV per atom) = 0.53
- formation energy from raw total energies (meV/atom) = -1811